[1]
Sr3SiMo meta-GGA SCAN PBEsol geometry; E_tot = -21.2197 eV per atom; energy relative to the elements, uncorrected = 1.126 eV per atom; ρ = 3.9 g/cm3; crystal system = cubic
1.0
5.487 0.000 0.000
0.000 5.487 0.000
0.000 0.000 5.487
Sr Si Mo
3 1 1
Cartesian
0.000 0.000 2.744
0.000 2.744 0.000
2.744 0.000 0.000
2.744 2.744 2.744
0.000 0.000 0.000

=====

[2]
MgTaSe2 meta-GGA SCAN PBEsol geometry; E_tot = -28.4908 eV per atom; energy relative to the elements, uncorrected = -0.562 eV per atom; ρ = 8.0 g/cm3; crystal system = trigonal
1.0
1.720 0.993 7.355
-1.720 0.993 7.355
0.000 -1.986 7.355
Mg Ta Se
1 1 2
Cartesian
0.000 0.000 0.000
0.000 0.000 11.032
0.000 0.000 5.422
0.000 0.000 16.642

=====

[3]
Tb2Ga9Co3 meta-GGA SCAN PBEsol geometry; E_tot = -21.4058 eV per atom; ρ = 8.8 g/cm3; ΔH_f (0 K) = -0.509 eV/atom; crystal system = orthorhombic
1.0
6.269 -3.641 0.000
6.269 3.641 0.000
0.000 0.000 9.281
Tb Ga Co
4 18 6
Cartesian
4.210 2.424 6.961
8.328 2.424 6.961
4.210 -2.424 2.320
8.328 -2.424 2.320
4.177 2.422 0.665
4.177 2.422 3.976
6.269 2.754 2.320
6.269 1.210 5.174
6.269 1.210 8.747
8.362 2.422 0.665
8.362 2.422 3.976
4.930 0.412 2.320
4.930 -0.412 6.961
7.608 0.412 2.320
7.608 -0.412 6.961
4.177 -2.422 5.305
4.177 -2.422 8.617
6.269 -1.210 0.534
6.269 -1.210 4.107
6.269 -2.754 6.961
8.362 -2.422 5.305
8.362 -2.422 8.617
0.000 0.000 0.000
0.000 0.000 4.641
4.128 0.000 0.000
4.128 0.000 4.641
8.411 0.000 0.000
8.411 0.000 4.641

=====

[4]
Y2TlCl meta-GGA SCAN PBEsol geometry; E_tot = -34.0455 eV per atom; energy relative to the elements, uncorrected = -0.040 eV per atom; ρ = 6.7 g/cm3; crystal system = cubic; offset from the most stable computed form = 824 meV/atom
1.0
0.000 3.724 3.724
3.724 0.000 3.724
3.724 3.724 0.000
Y Tl Cl
2 1 1
Cartesian
0.000 0.000 0.000
1.862 1.862 1.862
3.724 3.724 3.724
5.585 5.585 5.585